Record 1
A relaxed Ce2Sb2F crystal. Source: Alexandria via LeMat-Bulk, functional PBE.

Properties
space group	C2/m, No. 12
crystal system	monoclinic
ρ	7.06	g/cm³
E_tot	-30.29	eV/f.u.
magnetization	1.22	μB per formula unit
formation energy from raw total energies	-1.662	eV/atom

a = 6.251 Å, b = 6.251 Å, c = 11.459 Å
α = 116.96°, β = 116.96°, γ = 40.61°
Positions (direct):
1 Ce 0.102 0.102 0.410
2 Ce 0.322 0.322 0.853
3 Ce 0.678 0.678 0.147
4 Ce 0.898 0.898 0.590
5 Sb 0.066 0.066 0.906
6 Sb 0.367 0.367 0.349
7 Sb 0.633 0.633 0.651
8 Sb 0.934 0.934 0.094
9 F 0.331 0.331 0.634
10 F 0.669 0.669 0.366

***

Record 2
A relaxed Ce2ScF11 crystal. Source: Alexandria via LeMat-Bulk, functional PBE.

Properties
space group	Ibam, No. 72
crystal system	orthorhombic
ρ	3.96	g/cm³
E_tot	-90.99	eV/f.u.
magnetization	0.00	μB per formula unit
formation energy from raw total energies	-3.729	eV/atom

a = 8.435 Å, b = 8.435 Å, c = 8.435 Å
α = 120.79°, β = 105.73°, γ = 102.53°
Positions (direct):
1 Ce 0.184 0.152 0.336
2 Ce 0.316 0.652 0.968
3 Ce 0.684 0.348 0.032
4 Ce 0.816 0.848 0.664
5 Sc 0.250 0.750 0.500
6 Sc 0.750 0.250 0.500
7 F 0.000 0.000 0.000
8 F 0.022 0.445 0.755
9 F 0.070 0.849 0.637
10 F 0.190 0.945 0.423
11 F 0.210 0.874 0.084
12 F 0.212 0.433 0.363
13 F 0.288 0.651 0.221
14 F 0.290 0.374 0.665
15 F 0.310 0.733 0.755
16 F 0.430 0.067 0.779
17 F 0.478 0.233 0.423
18 F 0.500 0.500 0.000
19 F 0.522 0.767 0.577
20 F 0.570 0.933 0.221
21 F 0.690 0.267 0.245
22 F 0.710 0.626 0.335
23 F 0.712 0.349 0.779
24 F 0.788 0.567 0.637
25 F 0.790 0.126 0.916
26 F 0.810 0.055 0.577
27 F 0.930 0.151 0.363
28 F 0.978 0.555 0.245

***

Record 3
A relaxed CeScF4 crystal. Source: Alexandria via LeMat-Bulk, functional PBE.

Properties
space group	Cmc2_1, No. 36
crystal system	orthorhombic
ρ	4.11	g/cm³
E_tot	-39.65	eV/f.u.
magnetization	1.54	μB per formula unit
formation energy from raw total energies	-3.316	eV/atom

a = 9.821 Å, b = 9.821 Å, c = 5.458 Å
α = 90.00°, β = 90.00°, γ = 156.37°
Positions (direct):
1 Ce 0.228 0.772 0.500
2 Ce 0.772 0.228 0.000
3 Sc 0.422 0.578 0.502
4 Sc 0.578 0.422 0.002
5 F 0.078 0.922 0.999
6 F 0.341 0.659 0.753
7 F 0.343 0.657 0.245
8 F 0.497 0.503 0.764
9 F 0.503 0.497 0.264
10 F 0.657 0.343 0.745
11 F 0.659 0.341 0.253
12 F 0.922 0.078 0.499

***

Record 4
A relaxed Ce5Se5F2 crystal. Source: Alexandria via LeMat-Bulk, functional PBE.

Properties
space group	C2/m, No. 12
crystal system	monoclinic
ρ	6.32	g/cm³
E_tot	-76.45	eV/f.u.
magnetization	6.34	μB per formula unit
formation energy from raw total energies	-2.134	eV/atom

a = 7.039 Å, b = 7.039 Å, c = 11.443 Å
α = 109.33°, β = 109.33°, γ = 34.04°
Positions (direct):
1 Ce 0.000 0.000 0.000
2 Ce 0.106 0.106 0.403
3 Ce 0.322 0.322 0.212
4 Ce 0.678 0.678 0.788
5 Ce 0.894 0.894 0.597
6 Se 0.263 0.263 0.654
7 Se 0.337 0.337 0.954
8 Se 0.500 0.500 0.500
9 Se 0.663 0.663 0.046
10 Se 0.737 0.737 0.346
11 F 0.046 0.046 0.794
12 F 0.954 0.954 0.206

***

Record 5
A relaxed Ce2Se3F crystal. Source: Alexandria via LeMat-Bulk, functional PBE.

Properties
space group	C2/m, No. 12
crystal system	monoclinic
ρ	5.29	g/cm³
E_tot	-36.84	eV/f.u.
magnetization	1.03	μB per formula unit
formation energy from raw total energies	-2.107	eV/atom

a = 8.131 Å, b = 8.131 Å, c = 10.698 Å
α = 113.80°, β = 113.80°, γ = 31.64°
Positions (direct):
1 Ce 0.108 0.108 0.439
2 Ce 0.354 0.354 0.173
3 Ce 0.646 0.646 0.827
4 Ce 0.892 0.892 0.561
5 Se 0.155 0.155 0.998
6 Se 0.281 0.281 0.383
7 Se 0.448 0.448 0.750
8 Se 0.552 0.552 0.250
9 Se 0.719 0.719 0.617
10 Se 0.845 0.845 0.002
11 F 0.064 0.064 0.634
12 F 0.936 0.936 0.366

***

Record 6
A relaxed Ce3Se3F crystal. Source: Alexandria via LeMat-Bulk, functional PBE.

Properties
space group	R3m, No. 160
crystal system	trigonal
ρ	6.43	g/cm³
E_tot	-43.71	eV/f.u.
magnetization	4.76	μB per formula unit
formation energy from raw total energies	-1.940	eV/atom

a = 6.128 Å, b = 6.128 Å, c = 6.128 Å
α = 109.85°, β = 109.85°, γ = 109.85°
Positions (direct):
1 Ce 0.057 0.472 0.472
2 Ce 0.472 0.057 0.472
3 Ce 0.472 0.472 0.057
4 Se 0.560 0.972 0.972
5 Se 0.972 0.560 0.972
6 Se 0.972 0.972 0.560
7 F 0.329 0.329 0.329

***

The highest magnetization belongs to which entry? Ce5Se5F2